{"formula": "ZnGe2BO6", "functional": "GGA-PBE", "state": "optimized geometry", "raw_formation_energy_ev_per_atom": -1.57, "total_energy_ev_per_atom": -6.267, "m_tot_mub_per_cell": 0.00, "space_group": "C2/c, No. 15", "lattice": [[5.2623, 0.3762, 0.3904], [2.1376, 7.4869, -0.4380], [2.1376, -0.7152, 7.4655]], "species": ["B", "B", "O", "O", "O", "O", "O", "O", "O", "O", "O", "O", "O", "O", "Ge", "Ge", "Ge", "Ge", "Zn", "Zn"], "fractional_positions": [[0.2500, 0.2433, 0.7567], [0.7500, 0.7567, 0.2433], [0.6513, 0.7424, 0.0868], [0.8487, 0.9132, 0.2576], [0.4951, 0.6853, 0.7917], [0.0183, 0.5989, 0.2262], [0.0049, 0.2083, 0.3147], [0.5049, 0.3147, 0.2083], [0.9817, 0.4011, 0.7738], [0.3487, 0.2576, 0.9132], [0.4817, 0.7738, 0.4011], [0.9951, 0.7917, 0.6853], [0.1513, 0.0868, 0.7424], [0.5183, 0.2262, 0.5989], [0.8234, 0.6590, 0.8310], [0.1766, 0.3410, 0.1690], [0.3234, 0.8310, 0.6590], [0.6766, 0.1690, 0.3410], [0.7500, 0.2457, 0.7543], [0.2500, 0.7543, 0.2457]]}